5
Lattice="3.900 0.000 0.000 0.000 3.900 0.000 0.000 0.000 3.900" Properties=species:S:1:pos:R:3 comment="NiBrO3 PBE with a Hubbard U relaxed" spacegroup="No. 221" total_energy_ha_per_atom=-0.10479 pbc="T T T"
O 0.000 1.950 0.000
O 0.000 0.000 1.950
O 1.950 0.000 0.000
Br 0.000 0.000 0.000
Ni 1.950 1.950 1.950